Record 1
Below is a relaxed structure of Ba2AgF7, with properties calculated at the GGA-PBE level.

Lattice parameters (Å, degrees): 8.1815 8.1802 7.3225 68.38 56.04 59.99
Fractional positions:
Ag: 0.0849 0.7500 0.2500
Ba: 0.7792 0.8321 0.8275
Ba: 0.2208 0.1679 0.1725
F: 0.8204 0.3547 0.4884
F: 0.2973 0.4884 0.1163
F: 0.7903 0.7273 0.4993
F: 0.2097 0.2727 0.5007
F: 0.3364 0.8547 0.9884
F: 0.9021 0.0116 0.3837
Ba: 0.4388 0.6679 0.6725
F: 0.9831 0.2273 0.9993
F: 0.0979 0.9884 0.6163
F: 0.4507 0.2500 0.7500
F: 0.0169 0.7727 0.0007
F: 0.6636 0.1453 0.0116
F: 0.5493 0.7500 0.2500
F: 0.1796 0.6453 0.5116
F: 0.7027 0.5116 0.8837
Ba: 0.5612 0.3321 0.3275
Ag: 0.9151 0.2500 0.7500

Results
The calculation puts the energy relative to the elements, uncorrected at -61.152 kcal/mol of atoms. Its space group is C2/c (15). The total magnetic moment is 4.0 μB per cell.

Record 2
Below is a relaxed structure of AsIrBr2, with properties calculated at the GGA-PBE level.

Lattice parameters (Å, degrees): 3.6075 3.6083 8.0649 90.00 90.00 90.00
Fractional positions:
Br: 0.0000 0.0000 0.9408
Ir: 0.0000 0.0000 0.6429
Br: 0.5000 0.5000 0.3094
As: 0.5000 0.5000 0.6068

Results
The calculation puts the distance to the lowest polymorph of the same formula at 0.418 eV per atom. The calculation puts the energy relative to the elements, uncorrected at 2.597 kcal/mol of atoms. Its space group is P4mm (99). The total magnetic moment is 0.0 μB per cell.

Record 3
Below is a relaxed structure of K3Pa3Te8Pd, with properties calculated at the GGA-PBE level.

Lattice parameters (Å, degrees): 8.8493 8.6482 9.7566 115.05 90.00 120.77
Fractional positions:
Pd: 0.0000 0.0000 0.5000
Pa: 0.5000 0.5000 0.5000
Te: 0.2682 0.0325 0.2949
Te: 0.2175 0.4349 0.6912
Pa: 0.0000 0.5000 0.5000
Te: 0.2610 0.5219 0.2841
Te: 0.7318 0.9675 0.7051
K: 0.0000 0.0000 0.0000
Pa: 0.5000 0.0000 0.5000
Te: 0.7390 0.4781 0.7159
Te: 0.7825 0.5651 0.3088
K: 0.5000 0.5000 0.0000
Te: 0.7643 0.0325 0.2949
K: 0.0000 0.5000 0.0000
Te: 0.2357 0.9675 0.7051

Results
The calculation puts the energy relative to the elements, uncorrected at -18.745 kcal/mol of atoms. Its space group is C2/m (12). The total magnetic moment is 3.2 μB per cell.

Question: Which formula does entry 1 have?
Answer: Ba2AgF7

Question: Which value of energy relative to the elements, uncorrected does entry 2 give?
Answer: 2.597 kcal/mol of atoms

Question: Which value of total magnetic moment does entry 1 give?
Answer: 4.0 μB per cell

Please write out number 1 again, unchanged.
Below is a relaxed structure of Ba2AgF7, with properties calculated at the GGA-PBE level.

Lattice parameters (Å, degrees): 8.1815 8.1802 7.3225 68.38 56.04 59.99
Fractional positions:
Ag: 0.0849 0.7500 0.2500
Ba: 0.7792 0.8321 0.8275
Ba: 0.2208 0.1679 0.1725
F: 0.8204 0.3547 0.4884
F: 0.2973 0.4884 0.1163
F: 0.7903 0.7273 0.4993
F: 0.2097 0.2727 0.5007
F: 0.3364 0.8547 0.9884
F: 0.9021 0.0116 0.3837
Ba: 0.4388 0.6679 0.6725
F: 0.9831 0.2273 0.9993
F: 0.0979 0.9884 0.6163
F: 0.4507 0.2500 0.7500
F: 0.0169 0.7727 0.0007
F: 0.6636 0.1453 0.0116
F: 0.5493 0.7500 0.2500
F: 0.1796 0.6453 0.5116
F: 0.7027 0.5116 0.8837
Ba: 0.5612 0.3321 0.3275
Ag: 0.9151 0.2500 0.7500

Results
The calculation puts the energy relative to the elements, uncorrected at -61.152 kcal/mol of atoms. Its space group is C2/c (15). The total magnetic moment is 4.0 μB per cell.